Record 1
The following is a PBE calculation of crystalline TiFeCu2Pd at its relaxed geometry, from Alexandria via LeMat-Bulk.

```
5
Lattice="4.555 0.000 0.000 0.000 4.440 0.000 0.000 0.000 4.555" Properties=species:S:1:pos:R:3 pbc="T T T"
Ti 2.278 2.220 2.278
Cu 0.000 0.000 2.278
Cu 2.278 0.000 0.000
Pd 0.000 0.000 0.000
Fe 0.000 2.220 0.000
```

Energy of formation (eV/atom): 1.248
Density of states at the Fermi level (states/eV per atom): 1.715

=====

Record 2
The following is a PBE calculation of crystalline ZnFeCuPd at its relaxed geometry, from Alexandria via LeMat-Bulk.

```
4
Lattice="-4.149 0.300 0.849 -2.832 -0.187 -3.157 -2.502 -3.405 -0.409" Properties=species:S:1:pos:R:3 pbc="T T T"
Zn -4.741 -1.646 -1.358
Cu -2.371 -0.823 -0.679
Pd -7.112 -2.469 -2.037
Fe 0.000 0.000 0.000
```

Energy of formation (eV/atom): -0.071
Density of states at the Fermi level (states/eV per atom): 0.451

=====

Record 3
The following is a PBE calculation of crystalline Zn2FeCuPd at its relaxed geometry, from Alexandria via LeMat-Bulk.

```
5
Lattice="-1.409 2.765 -3.110 -1.580 -3.653 -2.532 -3.892 0.286 2.017" Properties=species:S:1:pos:R:3 pbc="T T T"
Zn -1.946 0.143 1.009
Zn -0.704 1.382 -1.555
Cu 0.000 0.000 0.000
Pd -0.790 -1.826 -1.266
Fe -3.441 -0.301 -1.812
```

Energy of formation (eV/atom): 0.734
Density of states at the Fermi level (states/eV per atom): 0.892

=====

Record 4
The following is a PBE calculation of crystalline Pm6Fe2Cu at its relaxed geometry, from Alexandria via LeMat-Bulk.

```
18
Lattice="-5.216 -0.883 6.650 6.246 -5.754 0.287 3.589 7.701 0.116" Properties=species:S:1:pos:R:3 pbc="T T T"
Pm 4.621 1.727 3.804
Pm -0.002 -0.663 3.249
Pm 4.186 4.529 0.875
Pm 0.433 -3.465 6.178
Pm 2.807 -0.739 5.596
Pm 1.812 1.803 1.456
Pm 7.364 2.902 1.684
Pm -2.746 -1.838 5.369
Pm 1.203 2.403 4.882
Pm 3.416 -1.339 2.171
Pm 7.025 -0.624 2.318
Pm -2.407 1.688 4.734
Fe 3.027 4.170 3.540
Fe 1.591 -3.106 3.512
Fe -1.002 4.197 4.165
Fe -0.626 2.621 2.601
Cu 4.917 0.974 0.201
Cu 0.000 0.000 0.000
```

Energy of formation (eV/atom): 0.025
Density of states at the Fermi level (states/eV per atom): 1.080

=====

Record 5
The following is a PBE calculation of crystalline Pm2FeCu at its relaxed geometry, from Alexandria via LeMat-Bulk.

```
4
Lattice="3.516 0.000 0.000 0.000 3.516 0.000 0.000 0.000 7.096" Properties=species:S:1:pos:R:3 pbc="T T T"
Fe 1.758 1.758 0.000
Cu 1.758 1.758 3.548
Pm 0.000 0.000 5.388
Pm 0.000 0.000 1.708
```

Energy of formation (eV/atom): 0.045
Density of states at the Fermi level (states/eV per atom): 1.145

=====

Record 6
The following is a PBE calculation of crystalline PmPrFeCu at its relaxed geometry, from Alexandria via LeMat-Bulk.

```
4
Lattice="5.009 0.000 0.000 2.504 4.338 0.000 2.504 1.446 4.090" Properties=species:S:1:pos:R:3 pbc="T T T"
Pr 2.504 1.446 1.022
Fe 0.000 0.000 0.000
Cu 5.009 2.892 2.045
Pm 7.513 4.338 3.067
```

Energy of formation (eV/atom): 0.102
Density of states at the Fermi level (states/eV per atom): 1.424